Run 1
{"formula": "InGa2Bi2", "functional": "PBE", "state": "relaxed", "lattice_angstrom": [[4.420, 0.000, 0.000], [0.000, 4.420, 0.000], [0.000, 0.000, 14.979]], "species": ["In", "In", "Ga", "Ga", "Ga", "Ga", "Bi", "Bi", "Bi", "Bi"], "frac_coords": [[0.000, 0.000, 0.000], [0.500, 0.500, 0.500], [0.000, 0.500, 0.250], [0.000, 0.500, 0.750], [0.500, 0.000, 0.250], [0.500, 0.000, 0.750], [0.000, 0.000, 0.382], [0.000, 0.000, 0.618], [0.500, 0.500, 0.118], [0.500, 0.500, 0.882]], "sg": "I4/mmm, No. 139"}

Run 2
{"formula": "InGa2Bi2", "functional": "PBE", "state": "relaxed", "lattice_angstrom": [[5.355, 0.000, 0.000], [0.000, 5.355, 0.000], [0.000, 0.000, 10.005]], "species": ["In", "In", "Ga", "Ga", "Ga", "Ga", "Bi", "Bi", "Bi", "Bi"], "frac_coords": [[0.000, 0.000, 0.000], [0.500, 0.500, 0.500], [0.000, 0.000, 0.375], [0.000, 0.000, 0.625], [0.500, 0.500, 0.125], [0.500, 0.500, 0.875], [0.000, 0.500, 0.250], [0.000, 0.500, 0.750], [0.500, 0.000, 0.250], [0.500, 0.000, 0.750]], "sg": "I4/mmm, No. 139"}

What is the least stable structure shown above? It is run 2.